*1*
Material: B3TePd
Method: DFT, PBE
State: optimized geometry

```
data_B3TePd
_chemical_formula_sum 'B3 Te1 Pd1'
_cell_length_a 4.396
_cell_length_b 4.396
_cell_length_c 4.396
_cell_angle_alpha 90.00
_cell_angle_beta 90.00
_cell_angle_gamma 90.00
_space_group_name_H-M_alt 'P m -3 m'
_space_group_IT_number 221
_space_group_name_Hall '-P 4 2 3'
loop_
_atom_site_label
_atom_site_type_symbol
_atom_site_fract_x
_atom_site_fract_y
_atom_site_fract_z
_atom_site_occupancy
B1 B 0.000 0.000 0.500 1
Te1 Te 0.000 0.000 0.000 1
Pd1 Pd 0.500 0.500 0.500 1
```

Calculated values
* M_tot: 0.0 μB per formula unit

---

*2*
Material: B3TePd
Method: DFT, PBE
State: optimized geometry

```
data_B3TePd
_chemical_formula_sum 'B3 Te1 Pd1'
_cell_length_a 4.231
_cell_length_b 4.231
_cell_length_c 4.231
_cell_angle_alpha 90.00
_cell_angle_beta 90.00
_cell_angle_gamma 90.00
_space_group_name_H-M_alt 'P m -3 m'
_space_group_IT_number 221
_space_group_name_Hall '-P 4 2 3'
loop_
_atom_site_label
_atom_site_type_symbol
_atom_site_fract_x
_atom_site_fract_y
_atom_site_fract_z
_atom_site_occupancy
B1 B 0.000 0.000 0.500 1
Te1 Te 0.500 0.500 0.500 1
Pd1 Pd 0.000 0.000 0.000 1
```

Calculated values
* M_tot: 0.0 μB per formula unit

---

Which structure loses on stability? *1* does.

---

*1*
Material: BTe3Pd
Method: DFT, PBE
State: optimized geometry

```
data_BTe3Pd
_chemical_formula_sum 'B1 Te3 Pd1'
_cell_length_a 5.296
_cell_length_b 5.296
_cell_length_c 5.296
_cell_angle_alpha 90.00
_cell_angle_beta 90.00
_cell_angle_gamma 90.00
_space_group_name_H-M_alt 'P m -3 m'
_space_group_IT_number 221
_space_group_name_Hall '-P 4 2 3'
loop_
_atom_site_label
_atom_site_type_symbol
_atom_site_fract_x
_atom_site_fract_y
_atom_site_fract_z
_atom_site_occupancy
B1 B 0.000 0.000 0.000 1
Te1 Te 0.000 0.500 0.500 1
Pd1 Pd 0.500 0.500 0.500 1
```

Calculated values
* M_tot: 0.0 μB per formula unit

---

*2*
Material: BTe3Pd
Method: DFT, PBE
State: optimized geometry

```
data_BTe3Pd
_chemical_formula_sum 'B1 Te3 Pd1'
_cell_length_a 4.812
_cell_length_b 4.812
_cell_length_c 4.812
_cell_angle_alpha 90.00
_cell_angle_beta 90.00
_cell_angle_gamma 90.00
_space_group_name_H-M_alt 'P m -3 m'
_space_group_IT_number 221
_space_group_name_Hall '-P 4 2 3'
loop_
_atom_site_label
_atom_site_type_symbol
_atom_site_fract_x
_atom_site_fract_y
_atom_site_fract_z
_atom_site_occupancy
B1 B 0.000 0.000 0.000 1
Te1 Te 0.000 0.000 0.500 1
Pd1 Pd 0.500 0.500 0.500 1
```

Calculated values
* M_tot: 0.0 μB per formula unit

---

Which structure loses on stability? *1* does.

---

*1*
Material: B2Te2Pd
Method: DFT, PBE
State: optimized geometry

```
data_B2Te2Pd
_chemical_formula_sum 'B4 Te4 Pd2'
_cell_length_a 5.016
_cell_length_b 5.016
_cell_length_c 6.476
_cell_angle_alpha 90.00
_cell_angle_beta 90.00
_cell_angle_gamma 90.00
_space_group_name_H-M_alt 'I 4/m m m'
_space_group_IT_number 139
_space_group_name_Hall '-I 4 2'
loop_
_atom_site_label
_atom_site_type_symbol
_atom_site_fract_x
_atom_site_fract_y
_atom_site_fract_z
_atom_site_occupancy
B1 B 0.000 0.000 0.131 1
Te1 Te 0.000 0.500 0.250 1
Pd1 Pd 0.000 0.000 0.500 1
```

Calculated values
* M_tot: 0.0 μB per formula unit

---

*2*
Material: B2Te2Pd
Method: DFT, PBE
State: optimized geometry

```
data_B2Te2Pd
_chemical_formula_sum 'B4 Te4 Pd2'
_cell_length_a 7.045
_cell_length_b 7.045
_cell_length_c 3.538
_cell_angle_alpha 90.00
_cell_angle_beta 90.00
_cell_angle_gamma 90.00
_space_group_name_H-M_alt 'P 4/m b m'
_space_group_IT_number 127
_space_group_name_Hall '-P 4 2ab'
loop_
_atom_site_label
_atom_site_type_symbol
_atom_site_fract_x
_atom_site_fract_y
_atom_site_fract_z
_atom_site_occupancy
B1 B 0.197 0.303 0.000 1
Te1 Te 0.166 0.666 0.500 1
Pd1 Pd 0.000 0.000 0.000 1
```

Calculated values
* M_tot: 0.0 μB per formula unit

---

Which structure loses on stability? *2* does.

---

*1*
Material: Ti3BPd
Method: DFT, PBE
State: optimized geometry

```
data_Ti3BPd
_chemical_formula_sum 'Ti3 B1 Pd1'
_cell_length_a 4.250
_cell_length_b 4.250
_cell_length_c 4.250
_cell_angle_alpha 90.00
_cell_angle_beta 90.00
_cell_angle_gamma 90.00
_space_group_name_H-M_alt 'P m -3 m'
_space_group_IT_number 221
_space_group_name_Hall '-P 4 2 3'
loop_
_atom_site_label
_atom_site_type_symbol
_atom_site_fract_x
_atom_site_fract_y
_atom_site_fract_z
_atom_site_occupancy
Ti1 Ti 0.000 0.000 0.500 1
B1 B 0.000 0.000 0.000 1
Pd1 Pd 0.500 0.500 0.500 1
```

Calculated values
* M_tot: 0.0 μB per formula unit

---

*2*
Material: Ti3BPd
Method: DFT, PBE
State: optimized geometry

```
data_Ti3BPd
_chemical_formula_sum 'Ti3 B1 Pd1'
_cell_length_a 4.682
_cell_length_b 4.682
_cell_length_c 4.682
_cell_angle_alpha 90.00
_cell_angle_beta 90.00
_cell_angle_gamma 90.00
_space_group_name_H-M_alt 'P m -3 m'
_space_group_IT_number 221
_space_group_name_Hall '-P 4 2 3'
loop_
_atom_site_label
_atom_site_type_symbol
_atom_site_fract_x
_atom_site_fract_y
_atom_site_fract_z
_atom_site_occupancy
Ti1 Ti 0.000 0.000 0.500 1
B1 B 0.500 0.500 0.500 1
Pd1 Pd 0.000 0.000 0.000 1
```

Calculated values
* M_tot: 0.0 μB per formula unit

---

Which structure loses on stability? *2* does.

---

*1*
Material: VB2Pd
Method: DFT, PBE
State: optimized geometry

```
data_VB2Pd
_chemical_formula_sum 'V4 B8 Pd4'
_cell_length_a 4.274
_cell_length_b 4.274
_cell_length_c 11.448
_cell_angle_alpha 90.00
_cell_angle_beta 90.00
_cell_angle_gamma 90.00
_space_group_name_H-M_alt 'I -4 2 d'
_space_group_IT_number 122
_space_group_name_Hall 'I -4 2bw'
loop_
_atom_site_label
_atom_site_type_symbol
_atom_site_fract_x
_atom_site_fract_y
_atom_site_fract_z
_atom_site_occupancy
V1 V 0.000 0.000 0.000 1
B1 B 0.235 0.250 0.625 1
Pd1 Pd 0.000 0.000 0.500 1
```

Calculated values
* M_tot: 0.0 μB per formula unit

---

*2*
Material: VB2Pd
Method: DFT, PBE
State: optimized geometry

```
data_VB2Pd
_chemical_formula_sum 'V4 B8 Pd4'
_cell_length_a 5.461
_cell_length_b 5.461
_cell_length_c 5.461
_cell_angle_alpha 90.00
_cell_angle_beta 90.00
_cell_angle_gamma 90.00
_space_group_name_H-M_alt 'F m -3 m'
_space_group_IT_number 225
_space_group_name_Hall '-F 4 2 3'
loop_
_atom_site_label
_atom_site_type_symbol
_atom_site_fract_x
_atom_site_fract_y
_atom_site_fract_z
_atom_site_occupancy
V1 V 0.000 0.000 0.000 1
B1 B 0.250 0.250 0.250 1
Pd1 Pd 0.000 0.000 0.500 1
```

Calculated values
* M_tot: 1.5 μB per formula unit

---

Which structure loses on stability? *1* does.

---

*1*
Material: VBPd3
Method: DFT, PBE
State: optimized geometry

```
data_VBPd3
_chemical_formula_sum 'V1 B1 Pd3'
_cell_length_a 4.587
_cell_length_b 4.587
_cell_length_c 4.587
_cell_angle_alpha 90.00
_cell_angle_beta 90.00
_cell_angle_gamma 90.00
_space_group_name_H-M_alt 'P m -3 m'
_space_group_IT_number 221
_space_group_name_Hall '-P 4 2 3'
loop_
_atom_site_label
_atom_site_type_symbol
_atom_site_fract_x
_atom_site_fract_y
_atom_site_fract_z
_atom_site_occupancy
V1 V 0.000 0.000 0.000 1
B1 B 0.500 0.500 0.500 1
Pd1 Pd 0.000 0.000 0.500 1
```

Calculated values
* M_tot: 0.0 μB per formula unit

---

*2*
Material: VBPd3
Method: DFT, PBE
State: optimized geometry

```
data_VBPd3
_chemical_formula_sum 'V1 B1 Pd3'
_cell_length_a 4.170
_cell_length_b 4.170
_cell_length_c 4.170
_cell_angle_alpha 90.00
_cell_angle_beta 90.00
_cell_angle_gamma 90.00
_space_group_name_H-M_alt 'P m -3 m'
_space_group_IT_number 221
_space_group_name_Hall '-P 4 2 3'
loop_
_atom_site_label
_atom_site_type_symbol
_atom_site_fract_x
_atom_site_fract_y
_atom_site_fract_z
_atom_site_occupancy
V1 V 0.000 0.000 0.000 1
B1 B 0.500 0.500 0.500 1
Pd1 Pd 0.000 0.500 0.500 1
```

Calculated values
* M_tot: 3.6 μB per formula unit

---

Which structure loses on stability? *1* does.